Entry 1:
PBE-GGA RbCrIn2Br6, relaxed; symmetry = P2_1/c, No. 14; formation energy (no corrections) = -0.909 eV per atom; total energy = -3.520 eV per atom; spin magnetization = 3.0 μB per formula unit; density = 4.01 g/cm3
1.0
-5.5766 -1.1040 4.5732
-4.8513 -3.0354 -6.6485
3.0760 -10.2643 2.4417
Br Rb Cr In
12 2 2 4
Cartesian
-4.3316 -10.4421 -2.5701
-4.7305 -2.4984 -2.9251
-6.9559 -8.7927 -0.7539
-5.5486 -12.4440 1.2560
-2.8804 -7.5355 2.8551
-2.6214 -11.9053 3.2915
-3.0202 -3.9617 2.9365
-7.1343 -4.9086 0.5837
-0.3960 -5.6111 1.1203
-4.4714 -6.8682 -2.4887
-1.8032 -1.9597 -0.8896
-0.2176 -9.4951 -0.2173
-0.8876 -6.6498 -2.1034
-2.7883 -0.5520 2.2866
-2.4256 -1.5177 -3.3243
-1.2503 -5.6842 3.5075
-3.4585 -8.7134 5.8440
-4.0824 -4.2020 -0.2321
-3.2695 -10.2018 0.5985
-3.8934 -5.6903 -5.4775

Entry 2:
PBE-GGA CrInSeBr2, relaxed; symmetry = P4/mmm, No. 123; formation energy (no corrections) = -0.396 eV per atom; total energy = -4.235 eV per atom; spin magnetization = 3.0 μB per formula unit; distance to the lowest polymorph of the same formula = 0.0 kJ/mol of atoms; density = 4.92 g/cm3
1.0
-2.9511 4.3716 -0.7167
-3.6929 -2.9034 -2.5035
-2.2226 -0.8091 4.2169
In Br Se Cr
1 2 1 1
Cartesian
-4.4333 0.3296 0.4984
-1.8464 -1.4517 -1.2517
-1.4756 2.1858 -0.3584
-1.1113 -0.4045 2.1085
0.0000 0.0000 0.0000

Entry 3:
PBE-GGA CrIn2TcBr, relaxed; symmetry = P4/mmm, No. 123; formation energy (no corrections) = 1.392 eV per atom; total energy = -4.036 eV per atom; spin magnetization = 8.0 μB per formula unit; density = 5.15 g/cm3
1.0
5.6204 0.0000 0.0000
0.0000 4.6910 0.0000
0.0000 0.0000 5.6204
In Cr Tc Br
2 1 1 1
Cartesian
2.8102 0.0000 0.0000
0.0000 0.0000 2.8102
0.0000 2.3455 0.0000
2.8102 2.3455 2.8102
0.0000 0.0000 0.0000

Entry 4:
PBE-GGA Ti2CrInBr, relaxed; symmetry = P4/mmm, No. 123; formation energy (no corrections) = 1.230 eV per atom; total energy = -4.735 eV per atom; spin magnetization = 0.2 μB per formula unit; density = 5.04 g/cm3
1.0
4.5783 0.0000 0.0000
0.0000 5.3842 0.0000
0.0000 0.0000 4.5783
Ti Br Cr In
2 1 1 1
Cartesian
2.2891 0.0000 0.0000
0.0000 0.0000 2.2891
0.0000 0.0000 0.0000
2.2891 2.6921 2.2891
0.0000 2.6921 0.0000

Entry 5:
PBE-GGA Tl2CrIn2Br6, relaxed; symmetry = C2/m, No. 12; formation energy (no corrections) = -0.689 eV per atom; total energy = -3.405 eV per atom; spin magnetization = 4.0 μB per formula unit; density = 4.86 g/cm3
1.0
-4.6613 5.5471 -2.2392
-2.9534 -6.8177 -1.5195
-1.2832 0.2695 7.6755
In Br Tl Cr
2 6 2 1
Cartesian
-4.7016 1.3287 1.8520
-4.1963 -2.3297 2.0649
-1.5746 -0.1337 1.4389
-6.2093 -2.8403 -0.5825
-7.3232 -0.8673 2.4779
-2.6886 1.8393 4.4994
-2.1621 -1.9726 4.7212
-6.7358 0.9716 -0.8044
-3.2885 -4.3917 -1.6607
-4.3262 3.1211 -2.0980
-0.6416 0.1347 3.8378

Entry 6:
PBE-GGA Tl2CrInBr6, relaxed; symmetry = P2_1/c, No. 14; formation energy (no corrections) = -0.776 eV per atom; total energy = -3.490 eV per atom; spin magnetization = 3.0 μB per formula unit; density = 5.26 g/cm3
1.0
7.4695 0.0000 0.0262
0.0000 8.1195 0.0000
0.1004 0.0000 10.9842
Br Cr Tl In
12 2 4 2
Cartesian
0.8112 3.8545 8.5514
2.5598 5.9443 4.9552
2.1076 5.3991 0.4800
6.7587 4.2651 2.4590
1.2252 1.8846 0.5499
5.0102 2.1752 6.0551
4.4957 0.2053 3.0724
5.4623 2.7204 10.5303
1.6773 1.3393 5.0252
5.8926 6.7802 5.9852
6.3447 6.2350 10.4604
3.0742 7.9142 7.9380
0.0000 4.0598 0.0000
3.7850 0.0000 5.5052
4.0355 4.7236 8.2426
0.2506 7.4558 2.7375
3.5344 3.3960 2.7677
7.3194 0.6638 8.2729
3.7348 0.0000 0.0131
0.0502 4.0598 5.4921

Entry 7:
PBE-GGA CrIrBr3, relaxed; symmetry = Pm-3m, No. 221; formation energy (no corrections) = 0.519 eV per atom; total energy = -4.181 eV per atom; spin magnetization = 4.7 μB per formula unit; distance to the lowest polymorph of the same formula = 0.0 kJ/mol of atoms; density = 6.08 g/cm3
1.0
5.0952 0.0000 0.0000
0.0000 5.0952 0.0000
0.0000 0.0000 5.0952
Br Ir Cr
3 1 1
Cartesian
2.5476 0.0000 0.0000
0.0000 0.0000 2.5476
0.0000 2.5476 0.0000
0.0000 0.0000 0.0000
2.5476 2.5476 2.5476

Entry 8:
PBE-GGA Cr3IrBr, relaxed; symmetry = Pm-3m, No. 221; formation energy (no corrections) = 1.572 eV per atom; total energy = -6.309 eV per atom; spin magnetization = 0.0 μB per formula unit; distance to the lowest polymorph of the same formula = 55.6 kJ/mol of atoms; density = 9.06 g/cm3
1.0
-4.1360 0.8100 -0.7477
-0.9730 -4.0471 0.9980
-0.5181 1.1343 4.0947
Cr Br Ir
3 1 1
Cartesian
-2.0680 0.4050 -0.3738
-0.2590 0.5671 2.0474
-0.4865 -2.0235 0.4990
0.0000 0.0000 0.0000
-2.8136 -1.0514 2.1725